(1)
A plane-wave DFT calculation with GGA-PBEsol was carried out for a geometry-optimized TlAu5 structure.

## Properties
Total magnetic moment: 0.00 μB per formula unit
Relative energy among the computed polymorphs: 0.21 eV per formula unit
Formation enthalpy at 0 K: 9 kJ/mol of atoms
DOS at the Fermi energy: 1.410 states/eV/f.u.

Cell lengths 5.4711, 5.4711, 5.4711 Å; angles 60.00, 60.00, 60.00 degrees
Last column: nearest neighbours and their distance in Å.
Fractional coordinates of all 6 atoms:
Tl: 0.0000 0.0000 0.0000  16 Au 3.21-3.35
Au: 0.1260 0.6247 0.6247  6 Au 2.73-2.74
Au: 0.2500 0.2500 0.2500  12 Au 3.21, 4 Tl 3.35
Au: 0.6247 0.1260 0.6247  6 Au 2.73-2.74
Au: 0.6247 0.6247 0.1260  6 Au 2.73-2.74
Au: 0.6247 0.6247 0.6247  6 Au 2.73-2.74

---

(2)
A plane-wave DFT calculation with GGA-PBEsol was carried out for a geometry-optimized Tl3Au structure.

## Properties
Total magnetic moment: 0.00 μB per formula unit
Relative energy among the computed polymorphs: 0.00 eV per formula unit
Formation enthalpy at 0 K: 0 kJ/mol of atoms
DOS at the Fermi energy: 1.839 states/eV/f.u.

Cell lengths 7.0770, 8.9031, 6.5485 Å; angles 90.00, 90.00, 90.00 degrees
Last column: nearest neighbours and their distance in Å.
Fractional coordinates of all 16 atoms:
Tl: 0.0037 0.2500 0.1040  2 Au 2.91-2.93
Tl: 0.1993 0.0514 0.6617  3 Au 2.89-3.05
Tl: 0.1993 0.4486 0.6617  3 Au 2.89-3.05
Tl: 0.3007 0.5514 0.1617  3 Au 2.89-3.05
Tl: 0.3007 0.9486 0.1617  3 Au 2.89-3.05
Tl: 0.4963 0.7500 0.6040  2 Au 2.91-2.93
Tl: 0.5037 0.2500 0.3960  2 Au 2.91-2.93
Tl: 0.6993 0.0514 0.8383  3 Au 2.89-3.05
Tl: 0.6993 0.4486 0.8383  3 Au 2.89-3.05
Tl: 0.8007 0.5514 0.3383  3 Au 2.89-3.05
Tl: 0.8007 0.9486 0.3383  3 Au 2.89-3.05
Tl: 0.9963 0.7500 0.8960  2 Au 2.91-2.93
Au: 0.1022 0.7500 0.4661  8 Tl 2.89-3.05
Au: 0.3978 0.2500 0.9661  8 Tl 2.89-3.05
Au: 0.6022 0.7500 0.0339  8 Tl 2.89-3.05
Au: 0.8978 0.2500 0.5339  8 Tl 2.89-3.05

---

(3)
A plane-wave DFT calculation with GGA-PBEsol was carried out for a geometry-optimized Tl3Au structure.

## Properties
Total magnetic moment: 0.00 μB per formula unit
Relative energy among the computed polymorphs: 0.06 eV per formula unit
Formation enthalpy at 0 K: 1 kJ/mol of atoms
DOS at the Fermi energy: 1.828 states/eV/f.u.

Cell lengths 3.4801, 3.4801, 8.3449 Å; angles 90.00, 90.00, 90.00 degrees
Last column: nearest neighbours and their distance in Å.
Fractional coordinates of all 4 atoms:
Tl: 0.0000 0.0000 0.0000  12 Tl 3.45-3.48
Tl: 0.5000 0.5000 0.2895  4 Au 3.02
Tl: 0.5000 0.5000 0.7105  4 Au 3.02
Au: 0.0000 0.0000 0.5000  8 Tl 3.02

---

(4)
A plane-wave DFT calculation with GGA-PBEsol was carried out for a geometry-optimized Tl3Au structure.

## Properties
Total magnetic moment: 0.00 μB per formula unit
Relative energy among the computed polymorphs: 0.28 eV per formula unit
Formation enthalpy at 0 K: 7 kJ/mol of atoms
DOS at the Fermi energy: 1.568 states/eV/f.u.

Cell lengths 6.9939, 6.9939, 9.5645 Å; angles 90.00, 90.00, 120.00 degrees
Last column: nearest neighbours and their distance in Å.
Fractional coordinates of all 16 atoms:
Tl: 0.0000 0.5000 0.0000  4 Au 3.13-3.50, 8 Tl 3.18-3.50
Tl: 0.0000 0.5000 0.5000  4 Au 3.13-3.50, 8 Tl 3.18-3.50
Tl: 0.1555 0.3111 0.2500  2 Au 3.04, 6 Tl 3.18-3.26
Tl: 0.1555 0.8445 0.2500  2 Au 3.04, 6 Tl 3.18-3.26
Tl: 0.3111 0.1555 0.7500  2 Au 3.04, 6 Tl 3.18-3.26
Tl: 0.5000 0.0000 0.0000  4 Au 3.13-3.50, 8 Tl 3.18-3.50
Tl: 0.5000 0.0000 0.5000  4 Au 3.13-3.50, 8 Tl 3.18-3.50
Tl: 0.5000 0.5000 0.0000  4 Au 3.13-3.50, 8 Tl 3.18-3.50
Tl: 0.5000 0.5000 0.5000  4 Au 3.13-3.50, 8 Tl 3.18-3.50
Tl: 0.6889 0.8445 0.2500  2 Au 3.04, 6 Tl 3.18-3.26
Tl: 0.8445 0.1555 0.7500  2 Au 3.04, 6 Tl 3.18-3.26
Tl: 0.8445 0.6889 0.7500  2 Au 3.04, 6 Tl 3.18-3.26
Au: 0.0000 0.0000 0.0000  6 Tl 3.04
Au: 0.0000 0.0000 0.5000  6 Tl 3.04
Au: 0.3333 0.6667 0.7500  12 Tl 3.13-3.50
Au: 0.6667 0.3333 0.2500  12 Tl 3.13-3.50

---

(5)
A plane-wave DFT calculation with GGA-PBEsol was carried out for a geometry-optimized Tl3Au structure.

## Properties
Total magnetic moment: 0.00 μB per formula unit
Relative energy among the computed polymorphs: 0.22 eV per formula unit
Formation enthalpy at 0 K: 5 kJ/mol of atoms
DOS at the Fermi energy: 1.798 states/eV/f.u.

Cell lengths 3.5270, 3.5270, 9.5452 Å; angles 90.00, 90.00, 120.00 degrees
Last column: nearest neighbours and their distance in Å.
Fractional coordinates of all 4 atoms:
Tl: 0.0000 0.0000 0.0000  12 Tl 3.38-3.53
Tl: 0.3333 0.6667 0.2823  3 Au 2.91
Tl: 0.3333 0.6667 0.7177  3 Au 2.91
Au: 0.0000 0.0000 0.5000  6 Tl 2.91

---

(6)
A plane-wave DFT calculation with GGA-PBEsol was carried out for a geometry-optimized Tl3Au structure.

## Properties
Total magnetic moment: 0.00 μB per formula unit
Relative energy among the computed polymorphs: 0.33 eV per formula unit
Formation enthalpy at 0 K: 8 kJ/mol of atoms
DOS at the Fermi energy: 2.037 states/eV/f.u.

Cell lengths 5.6572, 5.6572, 5.6572 Å; angles 131.62, 131.62, 70.83 degrees
Last column: nearest neighbours and their distance in Å.
Fractional coordinates of all 4 atoms:
Tl: 0.0000 0.0000 0.0000  8 Tl 3.27, 4 Au 3.28
Tl: 0.2500 0.7500 0.5000  4 Au 3.27, 8 Tl 3.27-3.28
Tl: 0.7500 0.2500 0.5000  4 Au 3.27, 8 Tl 3.27-3.28
Au: 0.5000 0.5000 0.0000  12 Tl 3.27-3.28

---

(7)
A plane-wave DFT calculation with GGA-PBEsol was carried out for a geometry-optimized Tl2Au structure.

## Properties
Total magnetic moment: 0.00 μB per formula unit
Formation enthalpy at 0 K: 4 kJ/mol of atoms
DOS at the Fermi energy: 1.356 states/eV/f.u.

Cell lengths 9.3615, 9.3615, 9.3615 Å; angles 60.00, 60.00, 60.00 degrees
Last column: nearest neighbours and their distance in Å.
Fractional coordinates of all 24 atoms:
Tl: 0.0000 0.0000 0.0000  6 Au 2.90
Tl: 0.0000 0.0000 0.5000  6 Au 2.90
Tl: 0.0000 0.5000 0.0000  6 Au 2.90
Tl: 0.1867 0.1867 0.5633  4 Au 3.06-3.39, 2 Tl 3.40
Tl: 0.1867 0.5633 0.1867  4 Au 3.06-3.39, 2 Tl 3.40
Tl: 0.1867 0.5633 0.5633  4 Au 3.06-3.39, 2 Tl 3.40
Tl: 0.4367 0.4367 0.8133  4 Au 3.06-3.39, 2 Tl 3.40
Tl: 0.4367 0.8133 0.4367  4 Au 3.06-3.39, 2 Tl 3.40
Tl: 0.4367 0.8133 0.8133  4 Au 3.06-3.39, 2 Tl 3.40
Tl: 0.5000 0.0000 0.0000  6 Au 2.90
Tl: 0.5633 0.1867 0.1867  4 Au 3.06-3.39, 2 Tl 3.40
Tl: 0.5633 0.1867 0.5633  4 Au 3.06-3.39, 2 Tl 3.40
Tl: 0.5633 0.5633 0.1867  4 Au 3.06-3.39, 2 Tl 3.40
Tl: 0.8133 0.4367 0.4367  4 Au 3.06-3.39, 2 Tl 3.40
Tl: 0.8133 0.4367 0.8133  4 Au 3.06-3.39, 2 Tl 3.40
Tl: 0.8133 0.8133 0.4367  4 Au 3.06-3.39, 2 Tl 3.40
Au: 0.1372 0.7876 0.7876  6 Tl 2.90-3.06
Au: 0.2124 0.2124 0.2124  6 Tl 2.90-3.06
Au: 0.2124 0.2124 0.8628  6 Tl 2.90-3.06
Au: 0.2124 0.8628 0.2124  6 Tl 2.90-3.06
Au: 0.7876 0.1372 0.7876  6 Tl 2.90-3.06
Au: 0.7876 0.7876 0.1372  6 Tl 2.90-3.06
Au: 0.7876 0.7876 0.7876  6 Tl 2.90-3.06
Au: 0.8628 0.2124 0.2124  6 Tl 2.90-3.06

---

(8)
A plane-wave DFT calculation with GGA-PBEsol was carried out for a geometry-optimized TlAu5 structure.

## Properties
Total magnetic moment: 0.00 μB per formula unit
Relative energy among the computed polymorphs: 0.09 eV per formula unit
Formation enthalpy at 0 K: 7 kJ/mol of atoms
DOS at the Fermi energy: 1.563 states/eV/f.u.

Cell lengths 3.4134, 3.4134, 9.4704 Å; angles 90.00, 90.00, 90.00 degrees
Last column: nearest neighbours and their distance in Å.
Fractional coordinates of all 6 atoms:
Tl: 0.0000 0.0000 0.0000  10 Au 3.02-3.26
Au: 0.0000 0.0000 0.3446  9 Au 2.82-2.94
Au: 0.0000 0.0000 0.6554  9 Au 2.82-2.94
Au: 0.5000 0.5000 0.1916  5 Au 2.82-2.92, 4 Tl 3.02
Au: 0.5000 0.5000 0.5000  10 Au 2.83-2.92
Au: 0.5000 0.5000 0.8084  5 Au 2.82-2.92, 4 Tl 3.02